The following is a GGA-PBE calculation of a relaxed PrTi4Se8 crystal, from the Alexandria database.

Calculated values
Uncorrected formation energy in eV per atom: -1.28
Space group: R-3m, No. 166

The structure in POSCAR format:
```
PrTi4Se8
1.0
-6.885 -1.455 1.807
-1.914 -6.753 1.877
-1.481 -1.285 7.930
Pr Se Ti
1 8 4
direct
0.500 0.500 0.500 Pr
0.738 0.738 0.786 Se
0.235 0.750 0.780 Se
0.262 0.262 0.214 Se
0.250 0.765 0.220 Se
0.765 0.250 0.220 Se
0.750 0.235 0.780 Se
0.235 0.235 0.780 Se
0.765 0.765 0.220 Se
0.000 0.000 0.000 Ti
0.000 0.500 0.000 Ti
0.500 0.500 0.000 Ti
0.500 0.000 0.000 Ti
```